Record 1
Ba4Mg3Ag: relaxed, PBE.

- total DFT energy (no corrections) (eV/cell) = -16.07
- volume (A^3/atom) = 39.9
- ΔH_f (0 K) (eV/f.u.) = -0.74
- space-group type = P4/mmm (123)

Cell lengths 4.2622, 4.2622, 17.5734 Å; angles 90.00, 90.00, 90.00 degrees
Last column: nearest neighbours and their distance in Å.
Fractional coordinates of all 8 atoms:
Ba: 0.0000 0.0000 0.1138  4 Ag 3.62, 4 Mg 3.80, 1 Ba 4.00
Ba: 0.0000 0.0000 0.3726  8 Mg 3.75-3.76
Ba: 0.0000 0.0000 0.6274  8 Mg 3.75-3.76
Ba: 0.0000 0.0000 0.8862  4 Ag 3.62, 4 Mg 3.80, 1 Ba 4.00
Mg: 0.5000 0.5000 0.2451  8 Ba 3.76-3.80
Mg: 0.5000 0.5000 0.5000  8 Ba 3.75
Mg: 0.5000 0.5000 0.7549  8 Ba 3.76-3.80
Ag: 0.5000 0.5000 0.0000  8 Ba 3.62

=====

Record 2
Ba5Mg4Ag4: relaxed, PBE.

- total DFT energy (no corrections) (eV/cell) = -29.80
- volume (A^3/atom) = 33.2
- ΔH_f (0 K) (eV/f.u.) = -2.40
- space-group type = I4/m (87)

Cell lengths 9.7563, 9.7563, 9.7563 Å; angles 93.52, 93.52, 151.30 degrees
Last column: nearest neighbours and their distance in Å.
Fractional coordinates of all 13 atoms:
Ba: 0.0000 0.0000 0.0000  4 Ag 3.73, 8 Ba 4.08
Ba: 0.2928 0.6318 0.9246  5 Ag 3.46-3.72, 3 Mg 3.74-3.87
Ba: 0.3682 0.2928 0.6610  5 Ag 3.46-3.72, 3 Mg 3.74-3.87
Ba: 0.6318 0.7072 0.3390  5 Ag 3.46-3.72, 3 Mg 3.74-3.87
Ba: 0.7072 0.3682 0.0754  5 Ag 3.46-3.72, 3 Mg 3.74-3.87
Mg: 0.0982 0.4311 0.5294  3 Ag 2.90-2.97, 1 Mg 3.21
Mg: 0.4311 0.9018 0.3329  3 Ag 2.90-2.97, 1 Mg 3.21
Mg: 0.5689 0.0982 0.6671  3 Ag 2.90-2.97, 1 Mg 3.21
Mg: 0.9018 0.5689 0.4706  3 Ag 2.90-2.97, 1 Mg 3.21
Ag: 0.0512 0.7258 0.7771  3 Mg 2.90-2.97
Ag: 0.2742 0.0512 0.3254  3 Mg 2.90-2.97
Ag: 0.7258 0.9488 0.6746  3 Mg 2.90-2.97
Ag: 0.9488 0.2742 0.2229  3 Mg 2.90-2.97

=====

Record 3
Ba2Mg5Ag3: relaxed, PBE.

- total DFT energy (no corrections) (eV/cell) = -43.99
- volume (A^3/atom) = 28.4
- ΔH_f (0 K) (eV/f.u.) = -1.62
- space-group type = C2/c (15)

Cell lengths 9.9051, 9.9051, 6.7293 Å; angles 109.72, 109.72, 95.57 degrees
Last column: nearest neighbours and their distance in Å.
Fractional coordinates of all 20 atoms:
Ba: 0.1040 0.3521 0.2271  6 Ag 3.61-3.98, 10 Mg 3.64-4.00
Ba: 0.3521 0.1040 0.7271  6 Ag 3.61-3.98, 10 Mg 3.64-4.00
Ba: 0.6479 0.8960 0.2729  6 Ag 3.61-3.98, 10 Mg 3.64-4.00
Ba: 0.8960 0.6479 0.7729  6 Ag 3.61-3.98, 10 Mg 3.64-4.00
Mg: 0.0228 0.7645 0.3952  3 Ag 2.81-2.84, 2 Mg 3.10
Mg: 0.2355 0.9772 0.1048  3 Ag 2.81-2.84, 2 Mg 3.10
Mg: 0.2858 0.7142 0.2500  2 Ag 2.83, 3 Mg 3.10-3.15
Mg: 0.2857 0.7143 0.7500  2 Ag 2.83, 3 Mg 3.10-3.14
Mg: 0.5002 0.4998 0.2500  4 Ag 2.90, 2 Mg 3.14-3.15
Mg: 0.4998 0.5002 0.7500  4 Ag 2.90, 2 Mg 3.14-3.15
Mg: 0.7143 0.2857 0.2500  2 Ag 2.83, 3 Mg 3.10-3.14
Mg: 0.7142 0.2858 0.7500  2 Ag 2.83, 3 Mg 3.10-3.15
Mg: 0.7645 0.0228 0.8952  3 Ag 2.81-2.84, 2 Mg 3.10
Mg: 0.9772 0.2355 0.6048  3 Ag 2.81-2.84, 2 Mg 3.10
Ag: 0.0000 0.0000 0.2500  4 Mg 2.81-2.82
Ag: 0.0000 0.0000 0.7500  4 Mg 2.81-2.82
Ag: 0.2402 0.4640 0.8530  5 Mg 2.83-2.90
Ag: 0.4640 0.2402 0.3530  5 Mg 2.83-2.90
Ag: 0.5360 0.7598 0.6470  5 Mg 2.83-2.90
Ag: 0.7598 0.5360 0.1470  5 Mg 2.83-2.90

=====

Record 4
Ba2MgAg: relaxed, PBE.

- total DFT energy (no corrections) (eV/cell) = -8.74
- volume (A^3/atom) = 38.3
- ΔH_f (0 K) (eV/f.u.) = -0.45
- space-group type = P4/mmm (123)

Cell lengths 6.0279, 6.0279, 4.2108 Å; angles 90.00, 90.00, 90.00 degrees
Last column: nearest neighbours and their distance in Å.
Fractional coordinates of all 4 atoms:
Ba: 0.0000 0.5000 0.0000  4 Mg 3.68, 4 Ag 3.68
Ba: 0.5000 0.0000 0.0000  4 Mg 3.68, 4 Ag 3.68
Mg: 0.0000 0.0000 0.5000  8 Ba 3.68
Ag: 0.5000 0.5000 0.5000  8 Ba 3.68

=====

Record 5
BaMg2Ag: relaxed, PBE.

- total DFT energy (no corrections) (eV/cell) = -8.26
- volume (A^3/atom) = 28.3
- ΔH_f (0 K) (eV/f.u.) = -0.30
- space-group type = P4mm (99)

Cell lengths 3.6811, 3.6811, 8.3663 Å; angles 90.00, 90.00, 90.00 degrees
Last column: nearest neighbours and their distance in Å.
Fractional coordinates of all 4 atoms:
Ba: 0.0000 0.0000 0.0000  4 Ag 3.59, 4 Ba 3.68, 5 Mg 3.70-3.82
Mg: 0.0000 0.0000 0.5573  4 Ag 2.88, 4 Mg 3.21
Mg: 0.5000 0.5000 0.3337  1 Ag 3.10, 4 Mg 3.21
Ag: 0.5000 0.5000 0.7048  5 Mg 2.88-3.10

=====

Record 6
Ba2Mg9Ag3: relaxed, PBE.

- total DFT energy (no corrections) (eV/cell) = -57.30
- volume (A^3/atom) = 25.4
- ΔH_f (0 K) (eV/f.u.) = -1.90
- space-group type = C2/c (15)

Cell lengths 8.8138, 8.8138, 12.0095 Å; angles 112.56, 112.56, 58.12 degrees
Last column: nearest neighbours and their distance in Å.
Fractional coordinates of all 28 atoms:
Ba: 0.0913 0.2531 0.2413  11 Mg 3.47-3.75, 2 Ag 3.74-3.87
Ba: 0.2531 0.0913 0.7413  11 Mg 3.47-3.75, 2 Ag 3.74-3.87
Ba: 0.7469 0.9087 0.2587  11 Mg 3.47-3.75, 2 Ag 3.74-3.87
Ba: 0.9087 0.7469 0.7587  11 Mg 3.47-3.75, 2 Ag 3.74-3.87
Mg: 0.0223 0.8609 0.0849  3 Ag 2.89-3.12, 3 Mg 3.10-3.18
Mg: 0.1391 0.9777 0.4151  3 Ag 2.89-3.12, 3 Mg 3.10-3.18
Mg: 0.1938 0.3600 0.5630  3 Ag 2.93-2.99, 4 Mg 3.07-3.22
Mg: 0.2255 0.5753 0.2550  2 Ag 2.91-2.99, 5 Mg 3.12-3.18
Mg: 0.3219 0.4950 0.9709  3 Ag 2.96-3.02, 3 Mg 2.99-3.10
Mg: 0.3576 0.6424 0.7500  2 Ag 2.93, 4 Mg 3.13-3.22
Mg: 0.3600 0.1938 0.0630  3 Ag 2.93-2.99, 4 Mg 3.07-3.22
Mg: 0.4247 0.7745 0.2450  2 Ag 2.91-2.99, 5 Mg 3.12-3.18
Mg: 0.4950 0.3219 0.4709  3 Ag 2.96-3.02, 3 Mg 2.99-3.10
Mg: 0.5050 0.6781 0.5291  3 Ag 2.96-3.02, 3 Mg 2.99-3.10
Mg: 0.5753 0.2255 0.7550  2 Ag 2.91-2.99, 5 Mg 3.12-3.18
Mg: 0.6400 0.8062 0.9370  3 Ag 2.93-2.99, 4 Mg 3.07-3.22
Mg: 0.6424 0.3576 0.2500  2 Ag 2.93, 4 Mg 3.13-3.22
Mg: 0.6781 0.5050 0.0291  3 Ag 2.96-3.02, 3 Mg 2.99-3.10
Mg: 0.7745 0.4247 0.7450  2 Ag 2.91-2.99, 5 Mg 3.12-3.18
Mg: 0.8062 0.6400 0.4370  3 Ag 2.93-2.99, 4 Mg 3.07-3.22
Mg: 0.8609 0.0223 0.5849  3 Ag 2.89-3.12, 3 Mg 3.10-3.18
Mg: 0.9777 0.1391 0.9151  3 Ag 2.89-3.12, 3 Mg 3.10-3.18
Ag: 0.0000 0.5000 0.0000  8 Mg 2.93-3.04
Ag: 0.1498 0.6743 0.4957  8 Mg 2.89-3.12
Ag: 0.3257 0.8502 0.0043  8 Mg 2.89-3.12
Ag: 0.5000 0.0000 0.5000  8 Mg 2.93-3.04
Ag: 0.6743 0.1498 0.9957  8 Mg 2.89-3.12
Ag: 0.8502 0.3257 0.5043  8 Mg 2.89-3.12

=====

Record 7
Ba5Mg4Ag: relaxed, PBE.

- total DFT energy (no corrections) (eV/cell) = -19.70
- volume (A^3/atom) = 40.2
- ΔH_f (0 K) (eV/f.u.) = -0.86
- space-group type = P4/mmm (123)

Cell lengths 4.2633, 4.2633, 22.1424 Å; angles 90.00, 90.00, 90.00 degrees
Last column: nearest neighbours and their distance in Å.
Fractional coordinates of all 10 atoms:
Ba: 0.0000 0.0000 0.0000  8 Mg 3.77
Ba: 0.0000 0.0000 0.2032  8 Mg 3.75-3.76
Ba: 0.0000 0.0000 0.4092  4 Ag 3.62, 4 Mg 3.80, 1 Ba 4.02
Ba: 0.0000 0.0000 0.5908  4 Ag 3.62, 4 Mg 3.80, 1 Ba 4.02
Ba: 0.0000 0.0000 0.7968  8 Mg 3.75-3.76
Mg: 0.5000 0.5000 0.1025  8 Ba 3.75-3.77
Mg: 0.5000 0.5000 0.3045  8 Ba 3.76-3.80
Mg: 0.5000 0.5000 0.6955  8 Ba 3.76-3.80
Mg: 0.5000 0.5000 0.8975  8 Ba 3.75-3.77
Ag: 0.5000 0.5000 0.5000  8 Ba 3.62

=====

Record 8
BaMg2Ag: relaxed, PBE.

- total DFT energy (no corrections) (eV/cell) = -7.40
- volume (A^3/atom) = 29.9
- ΔH_f (0 K) (eV/f.u.) = 0.56
- space-group type = C2/m (12)

Cell lengths 6.8612, 6.8612, 3.4225 Å; angles 102.57, 102.57, 123.34 degrees
Last column: nearest neighbours and their distance in Å.
Fractional coordinates of all 4 atoms:
Ba: 0.0000 0.0000 0.0000  4 Ag 3.26-3.48, 2 Ba 3.42, 4 Mg 3.48
Mg: 0.0000 0.5000 0.5000  6 Mg 3.26-3.48, 2 Ba 3.48, 2 Ag 3.48
Mg: 0.5000 0.0000 0.5000  6 Mg 3.26-3.48, 2 Ba 3.48, 2 Ag 3.48
Ag: 0.5000 0.5000 0.0000  4 Ba 3.26-3.48, 2 Ag 3.42, 4 Mg 3.48